i) Here is a relaxed Pt5C3 crystal from the Alexandria database. Energies are from PBE.

The value obtained for the density of states at the Fermi level is 0.541 states/eV per atom. Its space group is P4/mmm (123). For the calculated volume, the calculation gives 12.6 A^3/atom.

Lattice parameters (Å, degrees): 2.8364 2.8364 12.5428 90.00 90.00 90.00
Last column: nearest neighbours and their distance in Å.
Fractional coordinates of all 8 atoms:
Pt1 0.0000 0.0000 0.0000  6 Pt 2.69-2.84, 8 C 2.72
Pt2 0.0000 0.0000 0.2146  4 C 2.18
Pt3 0.0000 0.0000 0.7854  4 C 2.18
Pt4 0.5000 0.5000 0.3933  4 C 2.41, 1 Pt 2.68
Pt5 0.5000 0.5000 0.6067  4 C 2.41, 1 Pt 2.68
C1 0.0000 0.0000 0.5000  8 Pt 2.41
C2 0.5000 0.5000 0.1467  4 Pt 2.18
C3 0.5000 0.5000 0.8533  4 Pt 2.18

=====

ii) Here is a relaxed Pt5C3 crystal from the Alexandria database. Energies are from PBE.

The value obtained for the density of states at the Fermi level is 0.381 states/eV per atom. Its space group is P2_1/m (11). For the calculated volume, the calculation gives 15.7 A^3/atom.

Lattice parameters (Å, degrees): 5.0749 7.4911 6.6217 90.00 94.57 90.00
Last column: nearest neighbours and their distance in Å.
Fractional coordinates of all 16 atoms:
Pt1 0.1944 0.2500 0.2767  2 C 1.95-2.04
Pt2 0.2503 0.2500 0.8242  2 C 1.93-1.98
Pt3 0.2583 0.5657 0.0512  2 C 2.02-2.06
Pt4 0.2583 0.9343 0.0512  2 C 2.02-2.06
Pt5 0.2893 0.7500 0.5460  3 C 1.94-2.03
Pt6 0.7107 0.2500 0.4540  3 C 1.94-2.03
Pt7 0.7417 0.0657 0.9488  2 C 2.02-2.06
Pt8 0.7417 0.4343 0.9488  2 C 2.02-2.06
Pt9 0.7497 0.7500 0.1758  2 C 1.93-1.98
Pt10 0.8056 0.7500 0.7233  2 C 1.95-2.04
C1 0.1340 0.7500 0.2534  4 Pt 1.98-2.06
C2 0.1933 0.7500 0.8305  4 Pt 1.98-2.04
C3 0.3601 0.2500 0.5522  3 Pt 1.93-1.95
C4 0.6399 0.7500 0.4478  3 Pt 1.93-1.95
C5 0.8067 0.2500 0.1695  4 Pt 1.98-2.04
C6 0.8660 0.2500 0.7466  4 Pt 1.98-2.06

=====

iii) Here is a relaxed Pt5C3 crystal from the Alexandria database. Energies are from PBE.

The value obtained for the density of states at the Fermi level is 0.525 states/eV per atom. Its space group is Cmmm (65). For the calculated volume, the calculation gives 13.2 A^3/atom.

Lattice parameters (Å, degrees): 6.2192 6.2192 2.8349 90.00 90.00 105.11
Last column: nearest neighbours and their distance in Å.
Fractional coordinates of all 8 atoms:
Pt1 0.0000 0.0000 0.0000  4 C 2.28
Pt2 0.0000 0.5000 0.0000  4 C 2.46
Pt3 0.3177 0.3177 0.5000  2 C 1.98
Pt4 0.5000 0.0000 0.0000  4 C 2.46
Pt5 0.6823 0.6823 0.5000  2 C 1.98
C1 0.1804 0.8196 0.5000  6 Pt 2.28-2.46
C2 0.5000 0.5000 0.0000  4 Pt 1.98
C3 0.8196 0.1804 0.5000  6 Pt 2.28-2.46

=====

Pick ii): it beats the second-best structure by 49.8 kJ/mol of atoms.

=====

i) Here is a relaxed PtC4 crystal from the Alexandria database. Energies are from PBE.

The value obtained for the density of states at the Fermi level is 1.029 states/eV per atom. Its space group is Im-3m (229). For the calculated volume, the calculation gives 11.4 A^3/atom.

Lattice parameters (Å, degrees): 4.1992 4.1992 4.1992 109.47 109.47 109.47
Last column: nearest neighbours and their distance in Å.
Fractional coordinates of all 5 atoms:
Pt1 0.0000 0.0000 0.0000  8 C 2.10
C1 0.0000 0.0000 0.5000  2 Pt 2.10
C2 0.0000 0.5000 0.0000  2 Pt 2.10
C3 0.5000 0.0000 0.0000  2 Pt 2.10
C4 0.5000 0.5000 0.5000  2 Pt 2.10

=====

ii) Here is a relaxed PtC4 crystal from the Alexandria database. Energies are from PBE.

The value obtained for the density of states at the Fermi level is 0.468 states/eV per atom. Its space group is P-3m1 (164). For the calculated volume, the calculation gives 8.7 A^3/atom.

Lattice parameters (Å, degrees): 2.9036 2.9036 5.9706 90.00 90.00 120.00
Last column: nearest neighbours and their distance in Å.
Fractional coordinates of all 5 atoms:
Pt1 0.0000 0.0000 0.0000  6 C 2.09
C1 0.3333 0.6667 0.2089  1 C 1.46
C2 0.3333 0.6667 0.4529  1 C 1.46
C3 0.6667 0.3333 0.5471  1 C 1.46
C4 0.6667 0.3333 0.7911  1 C 1.46

=====

iii) Here is a relaxed PtC4 crystal from the Alexandria database. Energies are from PBE.

The value obtained for the density of states at the Fermi level is 0.354 states/eV per atom. Its space group is I4/mmm (139). For the calculated volume, the calculation gives 12.8 A^3/atom.

Lattice parameters (Å, degrees): 4.3801 4.3801 4.3801 106.16 106.16 116.32
Last column: nearest neighbours and their distance in Å.
Fractional coordinates of all 5 atoms:
Pt1 0.0000 0.0000 0.0000  4 C 1.99
C1 0.0000 0.3776 0.3776  1 C 1.29
C2 0.0000 0.6224 0.6224  1 C 1.29
C3 0.3776 0.0000 0.3776  1 C 1.29
C4 0.6224 0.0000 0.6224  1 C 1.29

=====

Pick ii): it beats the second-best structure by 31.2 kJ/mol of atoms.

=====

i) Here is a relaxed PtC4 crystal from the Alexandria database. Energies are from PBE.

The value obtained for the density of states at the Fermi level is 0.349 states/eV per atom. Its space group is I4/mmm (139). For the calculated volume, the calculation gives 8.2 A^3/atom.

Lattice parameters (Å, degrees): 3.9240 3.9240 3.9240 122.71 122.71 85.37
Last column: nearest neighbours and their distance in Å.
Fractional coordinates of all 5 atoms:
Pt1 0.0000 0.0000 0.0000  10 C 2.13-2.37
C1 0.2500 0.7500 0.5000  4 C 2.00
C2 0.3696 0.3696 0.0000  1 C 1.50
C3 0.6304 0.6304 0.0000  1 C 1.50
C4 0.7500 0.2500 0.5000  4 C 2.00

=====

ii) Here is a relaxed PtC4 crystal from the Alexandria database. Energies are from PBE.

The value obtained for the density of states at the Fermi level is 0.799 states/eV per atom. Its space group is Pm-3m (221). For the calculated volume, the calculation gives 12.6 A^3/atom.

Lattice parameters (Å, degrees): 3.9786 3.9786 3.9786 90.00 90.00 90.00
Last column: nearest neighbours and their distance in Å.
Fractional coordinates of all 5 atoms:
Pt1 0.0000 0.0000 0.0000  6 C 1.99
C1 0.0000 0.0000 0.5000  2 Pt 1.99
C2 0.0000 0.5000 0.0000  2 Pt 1.99
C3 0.5000 0.0000 0.0000  2 Pt 1.99
C4 0.5000 0.5000 0.5000  12 C 2.81

=====

Pick i): it beats the second-best structure by 89.2 kJ/mol of atoms.

=====

i) Here is a relaxed Pt5C crystal from the Alexandria database. Energies are from PBE.

The value obtained for the density of states at the Fermi level is 0.826 states/eV per atom. Its space group is Cm (8). For the calculated volume, the calculation gives 14.6 A^3/atom.

Lattice parameters (Å, degrees): 4.8160 4.8160 7.2814 108.89 108.89 33.57
Last column: nearest neighbours and their distance in Å.
Fractional coordinates of all 6 atoms:
Pt1 0.0000 0.0000 0.0000  10 Pt 2.76-3.04
Pt2 0.3661 0.3661 0.5826  2 C 2.13
Pt3 0.5631 0.5631 0.3624  2 C 2.15
Pt4 0.6862 0.6862 0.7815  2 C 2.16
Pt5 0.7764 0.7764 0.1743  9 Pt 2.70-2.89
C1 0.0389 0.0389 0.5755  6 Pt 2.13-2.16

=====

ii) Here is a relaxed Pt5C crystal from the Alexandria database. Energies are from PBE.

The value obtained for the density of states at the Fermi level is 0.643 states/eV per atom. Its space group is F-43m (216). For the calculated volume, the calculation gives 16.6 A^3/atom.

Lattice parameters (Å, degrees): 5.2042 5.2042 5.2042 60.00 60.00 60.00
Last column: nearest neighbours and their distance in Å.
Fractional coordinates of all 6 atoms:
Pt1 0.0000 0.0000 0.0000  12 Pt 3.05, 4 C 3.19
Pt2 0.1248 0.6251 0.6251  6 Pt 2.60
Pt3 0.6251 0.1248 0.6251  6 Pt 2.60
Pt4 0.6251 0.6251 0.1248  6 Pt 2.60
Pt5 0.6251 0.6251 0.6251  6 Pt 2.60
C1 0.2500 0.2500 0.2500  16 Pt 3.05-3.19

=====

iii) Here is a relaxed Pt5C crystal from the Alexandria database. Energies are from PBE.

The value obtained for the density of states at the Fermi level is 1.561 states/eV per atom. Its space group is P-62m (189). For the calculated volume, the calculation gives 14.9 A^3/atom.

Lattice parameters (Å, degrees): 4.7589 4.7589 4.5519 90.00 90.00 120.00
Last column: nearest neighbours and their distance in Å.
Fractional coordinates of all 6 atoms:
Pt1 0.0000 0.6699 0.0000  10 Pt 2.72-2.78, 2 C 2.77
Pt2 0.3301 0.3301 0.0000  10 Pt 2.72-2.78, 2 C 2.77
Pt3 0.3333 0.6667 0.5000  3 C 2.75, 9 Pt 2.75-2.78
Pt4 0.6667 0.3333 0.5000  3 C 2.75, 9 Pt 2.75-2.78
Pt5 0.6699 0.0000 0.0000  10 Pt 2.72-2.78, 2 C 2.77
C1 0.0000 0.0000 0.5000  12 Pt 2.75-2.77

=====

Pick i): it beats the second-best structure by 46.8 kJ/mol of atoms.

=====

i) Here is a relaxed Pt5C crystal from the Alexandria database. Energies are from PBE.

The value obtained for the density of states at the Fermi level is 1.441 states/eV per atom. Its space group is P4/mmm (123). For the calculated volume, the calculation gives 14.2 A^3/atom.

Lattice parameters (Å, degrees): 2.7721 2.7721 11.0642 90.00 90.00 90.00
Last column: nearest neighbours and their distance in Å.
Fractional coordinates of all 6 atoms:
Pt1 0.0000 0.0000 0.0000  12 Pt 2.77-2.83
Pt2 0.0000 0.0000 0.3755  4 C 2.40
Pt3 0.0000 0.0000 0.6245  4 C 2.40
Pt4 0.5000 0.5000 0.1840  12 Pt 2.77-2.89
Pt5 0.5000 0.5000 0.8160  12 Pt 2.77-2.89
C1 0.5000 0.5000 0.5000  8 Pt 2.40

=====

ii) Here is a relaxed Pt5C crystal from the Alexandria database. Energies are from PBE.

The value obtained for the density of states at the Fermi level is 0.920 states/eV per atom. Its space group is P6/mmm (191). For the calculated volume, the calculation gives 17.5 A^3/atom.

Lattice parameters (Å, degrees): 5.1805 5.1805 4.5289 90.00 90.00 120.00
Last column: nearest neighbours and their distance in Å.
Fractional coordinates of all 6 atoms:
Pt1 0.0000 0.5000 0.0000  8 Pt 2.59-2.71
Pt2 0.3333 0.6667 0.5000  9 Pt 2.71-2.99, 3 C 2.99
Pt3 0.5000 0.0000 0.0000  8 Pt 2.59-2.71
Pt4 0.5000 0.5000 0.0000  8 Pt 2.59-2.71
Pt5 0.6667 0.3333 0.5000  9 Pt 2.71-2.99, 3 C 2.99
C1 0.0000 0.0000 0.5000  6 Pt 2.99

=====

Pick i): it beats the second-best structure by 67.4 kJ/mol of atoms.